Entry one
Material: Cd2NiPb
Method: DFT, PBE-GGA
State: relaxed

Properties
D(E_F) = 0.45 states/eV/atom

Cell lengths 3.178, 3.178, 8.543 Å; angles 90.00, 90.00, 90.00 degrees
Space group P4/mmm (No. 123)
Asymmetric unit:
Cd: 0.000 0.000 0.182
Ni: 0.500 0.500 0.000
Pb: 0.500 0.500 0.500

---

Entry two
Material: Cd2NiPb
Method: DFT, PBE-GGA
State: relaxed

Properties
D(E_F) = 0.45 states/eV/atom

Cell lengths 3.2791, 3.2791, 28.2338 Å; angles 90.00, 90.00, 120.00 degrees
Space group R3m (No. 160, hexagonal axes)
Asymmetric unit:
Cd: 0.0000 0.0000 0.0000
Cd: 0.0000 0.0000 0.2380
Ni: 0.0000 0.0000 0.7339
Pb: 0.0000 0.0000 0.4696

---

Entry three
Material: Cd2NiPb
Method: DFT, PBE-GGA
State: relaxed

Properties
D(E_F) = 0.62 states/eV/atom

Cell lengths 4.273, 3.216, 6.773 Å; angles 90.00, 108.04, 90.00 degrees
Space group Pm (No. 6)
Asymmetric unit:
Cd: 0.000 0.000 0.000
Cd: 0.385 0.500 0.767
Ni: 0.215 0.000 0.428
Pb: 0.678 0.500 0.354

---

Most favorable first, least favorable last: entry one, entry three, entry two